Record 1
# Sm2Dy2Cu

A relaxed Sm2Dy2Cu crystal (GGA-PBE, Alexandria via LeMat-Bulk).

Values from the calculation:
The calculated total energy is -23.1 eV for the cell shown.

a = 11.595 Å, b = 11.595 Å, c = 11.595 Å
α = 162.48°, β = 162.48°, γ = 24.87°
Atoms (fractional coordinates):
Sm (0.193, 0.193, 0.000)
Sm (0.807, 0.807, 0.000)
Dy (0.426, 0.426, 0.000)
Dy (0.574, 0.574, 0.000)
Cu (0.000, 0.000, 0.000)



Record 2
# Sr2ZrTlNi

A relaxed Sr2ZrTlNi crystal (GGA-PBE, Alexandria via LeMat-Bulk).

Values from the calculation:
The calculated total energy is -17.8 eV for the cell shown.

a = 5.574 Å, b = 5.574 Å, c = 5.068 Å
α = 90.00°, β = 90.00°, γ = 90.00°
Atoms (fractional coordinates):
Sr (0.000, 0.500, 0.000)
Sr (0.500, 0.000, 0.000)
Zr (0.000, 0.000, 0.500)
Tl (0.500, 0.500, 0.500)
Ni (0.500, 0.500, 0.000)



Record 3
# GdHfTi4

A relaxed GdHfTi4 crystal (GGA-PBE, Alexandria via LeMat-Bulk).

Values from the calculation:
The calculated total energy is -53.9 eV for the cell shown.

a = 5.635 Å, b = 5.635 Å, c = 5.635 Å
α = 60.00°, β = 60.00°, γ = 60.00°
Atoms (fractional coordinates):
Gd (0.000, 0.000, 0.000)
Hf (0.750, 0.750, 0.750)
Ti (0.378, 0.378, 0.378)
Ti (0.378, 0.378, 0.867)
Ti (0.378, 0.867, 0.378)
Ti (0.867, 0.378, 0.378)



Question: What is the calculated total energy in the first record?
Answer: -23.1 eV for the cell shown



Question: Look up the calculated total energy of the first one.
Answer: -23.1 eV for the cell shown



Question: Which of these has the highest calculated total energy?
Answer: Sr2ZrTlNi